No. 1
Entry from Alexandria: a geometry-optimized Os2RhCl structure (PBE).

a = 3.5794 Å, b = 3.5794 Å, c = 5.0325 Å
α = 90.00°, β = 90.00°, γ = 90.00°
Element x y z (fractional)
Os 0.0000 0.5000 0.0000
Os 0.5000 0.0000 0.0000
Rh 0.0000 0.0000 0.5000
Cl 0.5000 0.5000 0.5000

Properties
SG = P4/mmm (123)
uncorrected energy = -6.509 eV/atom
Fermi-level density of states = 5.5 states/eV/cell
V = 64 Å³/cell

No. 2
Entry from Alexandria: a geometry-optimized CdSnP2 structure (PBE).

a = 7.2179 Å, b = 7.2179 Å, c = 7.2179 Å
α = 131.08°, β = 131.08°, γ = 71.69°
Element x y z (fractional)
Cd 0.0000 0.0000 0.0000
Cd 0.7500 0.2500 0.5000
Sn 0.2500 0.7500 0.5000
Sn 0.5000 0.5000 0.0000
P 0.1319 0.6250 0.0069
P 0.3750 0.3819 0.5069
P 0.6181 0.1250 0.9931
P 0.8750 0.8681 0.4931

Properties
SG = I-42d (122)
uncorrected energy = -4.033 eV/atom
Fermi-level density of states = 0.0 states/eV/cell
E_form = -99 meV per atom
V = 209 Å³/cell

No. 3
Entry from Alexandria: a geometry-optimized Co5P structure (PBE).

a = 4.3082 Å, b = 4.3082 Å, c = 3.9878 Å
α = 90.00°, β = 90.00°, γ = 120.00°
Element x y z (fractional)
Co 0.0000 0.6717 0.0000
Co 0.3283 0.3283 0.0000
Co 0.3333 0.6667 0.5000
Co 0.6667 0.3333 0.5000
Co 0.6717 0.0000 0.0000
P 0.0000 0.0000 0.5000

Properties
SG = P-62m (189)
uncorrected energy = -6.921 eV/atom
Fermi-level density of states = 8.4 states/eV/cell
E_form = -98 meV per atom
V = 64 Å³/cell

No. 4
Entry from Alexandria: a geometry-optimized Fe2HgW structure (PBE).

a = 2.7344 Å, b = 2.7344 Å, c = 8.4966 Å
α = 90.00°, β = 90.00°, γ = 105.68°
Element x y z (fractional)
Fe 0.0000 0.0000 0.0000
Fe 0.5000 0.5000 0.2077
Hg 0.5000 0.5000 0.7334
W 0.0000 0.0000 0.4377

Properties
SG = Cmm2 (35)
uncorrected energy = -7.088 eV/atom
Fermi-level density of states = 3.0 states/eV/cell
E_form = 458 meV per atom
V = 61 Å³/cell

No. 5
Entry from Alexandria: a geometry-optimized Mg4Re structure (PBE).

a = 5.4154 Å, b = 5.4154 Å, c = 5.4154 Å
α = 109.47°, β = 109.47°, γ = 109.47°
Element x y z (fractional)
Mg 0.0000 0.0000 0.5000
Mg 0.0000 0.5000 0.0000
Mg 0.5000 0.0000 0.0000
Mg 0.5000 0.5000 0.5000
Re 0.0000 0.0000 0.0000

Properties
SG = Im-3m (229)
uncorrected energy = -3.165 eV/atom
Fermi-level density of states = 4.6 states/eV/cell
E_form = 600 meV per atom
V = 122 Å³/cell

No. 6
Entry from Alexandria: a geometry-optimized BeNiP2Cl structure (PBE).

a = 4.5904 Å, b = 4.5904 Å, c = 3.8092 Å
α = 90.00°, β = 90.00°, γ = 90.00°
Element x y z (fractional)
Be 0.0000 0.0000 0.0000
Ni 0.5000 0.5000 0.0000
P 0.0000 0.5000 0.5000
P 0.5000 0.0000 0.5000
Cl 0.0000 0.0000 0.5000

Properties
SG = P4/mmm (123)
uncorrected energy = -3.072 eV/atom
Fermi-level density of states = 2.1 states/eV/cell
V = 80 Å³/cell

No. 7
Entry from Alexandria: a geometry-optimized Pr3Dy3MgTe8 structure (PBE).

a = 8.9115 Å, b = 8.9115 Å, c = 8.9115 Å
α = 59.18°, β = 59.18°, γ = 59.18°
Element x y z (fractional)
Pr 0.0000 0.5000 0.5000
Pr 0.5000 0.0000 0.5000
Pr 0.5000 0.5000 0.0000
Dy 0.0000 0.0000 0.5000
Dy 0.0000 0.5000 0.0000
Dy 0.5000 0.0000 0.0000
Mg 0.5000 0.5000 0.5000
Te 0.2455 0.2455 0.2455
Te 0.2474 0.7434 0.7434
Te 0.2566 0.2566 0.7526
Te 0.2566 0.7526 0.2566
Te 0.7434 0.2474 0.7434
Te 0.7434 0.7434 0.2474
Te 0.7526 0.2566 0.2566
Te 0.7545 0.7545 0.7545

Properties
SG = R-3m (166)
uncorrected energy = -4.985 eV/atom
Fermi-level density of states = 4.0 states/eV/cell
V = 491 Å³/cell

No. 8
Entry from Alexandria: a geometry-optimized Er3ZnAg structure (PBE).

a = 4.0677 Å, b = 7.0421 Å, c = 9.2612 Å
α = 90.00°, β = 90.00°, γ = 90.00°
Element x y z (fractional)
Er 0.2500 0.0030 0.2002
Er 0.2500 0.2500 0.5551
Er 0.2500 0.4970 0.2002
Er 0.7500 0.5030 0.7998
Er 0.7500 0.7500 0.4449
Er 0.7500 0.9970 0.7998
Zn 0.2500 0.7500 0.6627
Zn 0.7500 0.2500 0.3373
Ag 0.2500 0.2500 0.9325
Ag 0.7500 0.7500 0.0675

Properties
SG = Pmmn (59)
uncorrected energy = -3.664 eV/atom
Fermi-level density of states = 8.8 states/eV/cell
E_form = -101 meV per atom
V = 265 Å³/cell

No. 9
Entry from Alexandria: a geometry-optimized Na3ErNp2S6 structure (PBE).

a = 6.9210 Å, b = 6.9210 Å, c = 7.0532 Å
α = 99.41°, β = 99.41°, γ = 120.01°
Element x y z (fractional)
Na 0.0000 0.0000 0.0000
Na 0.3334 0.6666 0.0000
Na 0.6666 0.3334 0.0000
Er 0.5000 0.5000 0.5000
Np 0.1667 0.8333 0.5000
Np 0.8333 0.1667 0.5000
S 0.0937 0.4243 0.2731
S 0.2449 0.2449 0.7266
S 0.4243 0.0937 0.2731
S 0.5757 0.9063 0.7269
S 0.7551 0.7551 0.2734
S 0.9063 0.5757 0.7269

Properties
SG = C2/m (12)
uncorrected energy = -6.437 eV/atom
Fermi-level density of states = 21.2 states/eV/cell
V = 276 Å³/cell

No. 10
Entry from Alexandria: a geometry-optimized Tb2NiRh structure (PBE).

a = 5.6414 Å, b = 4.1083 Å, c = 7.6912 Å
α = 90.00°, β = 109.82°, γ = 90.00°
Element x y z (fractional)
Tb 0.2181 0.2500 0.4288
Tb 0.2177 0.2500 0.9308
Tb 0.7823 0.7500 0.0692
Tb 0.7819 0.7500 0.5712
Ni 0.3446 0.7500 0.2090
Ni 0.6554 0.2500 0.7910
Rh 0.3417 0.7500 0.7127
Rh 0.6583 0.2500 0.2873

Properties
SG = P2_1/m (11)
uncorrected energy = -6.240 eV/atom
Fermi-level density of states = 5.3 states/eV/cell
E_form = -641 meV per atom
V = 168 Å³/cell